Entry 1:
Compound: NaLi2SnHg
Source: Alexandria via LeMat-Bulk
Functional: PBE
Structure: relaxed

a b c (Å): 4.962 5.980 8.524
angles (deg): 90.00 90.00 114.51
Element x y z (fractional)
Na 0.500 0.000 0.500
Na 0.500 0.000 0.000
Li 0.204 0.408 0.074
Li 0.796 0.592 0.574
Li 0.204 0.408 0.426
Li 0.796 0.592 0.926
Sn 0.721 0.442 0.250
Sn 0.279 0.558 0.750
Hg 0.014 0.028 0.750
Hg 0.986 0.972 0.250

Summary:
- Electronic total energy: -21.55 eV per cell
- E_form: -25.55 kJ/mol of atoms
- Space-group type: No. 63
- V: 23.01 A^3/atom

Entry 2:
Compound: NaSrLi2Hg
Source: Alexandria via LeMat-Bulk
Functional: PBE
Structure: relaxed

a b c (Å): 5.291 5.291 5.661
angles (deg): 90.00 90.00 90.00
Element x y z (fractional)
Sr 0.500 0.500 0.500
Li 0.000 0.500 0.000
Li 0.500 0.000 0.000
Hg 0.000 0.000 0.000
Na 0.000 0.000 0.500

Summary:
- Electronic total energy: -7.38 eV per cell
- E_form: -4.81 kJ/mol of atoms
- Space-group type: No. 123
- V: 31.70 A^3/atom

Copy entry 2 word for word.
Compound: NaSrLi2Hg
Source: Alexandria via LeMat-Bulk
Functional: PBE
Structure: relaxed

a b c (Å): 5.291 5.291 5.661
angles (deg): 90.00 90.00 90.00
Element x y z (fractional)
Sr 0.500 0.500 0.500
Li 0.000 0.500 0.000
Li 0.500 0.000 0.000
Hg 0.000 0.000 0.000
Na 0.000 0.000 0.500

Summary:
- Electronic total energy: -7.38 eV per cell
- E_form: -4.81 kJ/mol of atoms
- Space-group type: No. 123
- V: 31.70 A^3/atom

> Which value of E_form does entry 2 give?

-4.81 kJ/mol of atoms

> Which value of V does entry 2 give?

31.70 A^3/atom